# H2AuSN, optimized geometry, DFT PBE-GGA
data_H2AuSN
_cell_length_a 3.754
_cell_length_b 4.371
_cell_length_c 5.229
_cell_angle_alpha 71.34
_cell_angle_beta 88.59
_cell_angle_gamma 70.32
_space_group_name_H-M_alt 'P 1'
_space_group_IT_number 1
loop_
_space_group_symop_operation_xyz
'x,y,z'
loop_
_atom_site_label
_atom_site_type_symbol
_atom_site_fract_x
_atom_site_fract_y
_atom_site_fract_z
_atom_site_occupancy
H1 H 0.000 0.000 0.000 1
H2 H 0.339 0.327 0.325 1
Au1 Au 0.970 0.577 0.692 1
S1 S 0.828 0.752 0.064 1
N1 N 0.057 0.439 0.348 1
# - Calculated volume: 15.24 Å³ per atom
# - Space group: P1
# - Spin magnetization: 0.000 μB per formula unit
# - VASP energy: -0.319 Ry per atom

=====

# HAuS2N, optimized geometry, DFT PBE-GGA
data_HAuS2N
_cell_length_a 5.030
_cell_length_b 5.030
_cell_length_c 2.611
_cell_angle_alpha 90.00
_cell_angle_beta 90.00
_cell_angle_gamma 90.00
_space_group_name_H-M_alt 'P 1'
_space_group_IT_number 1
loop_
_space_group_symop_operation_xyz
'x,y,z'
loop_
_atom_site_label
_atom_site_type_symbol
_atom_site_fract_x
_atom_site_fract_y
_atom_site_fract_z
_atom_site_occupancy
H1 H 0.000 0.000 0.000 1
Au1 Au 0.500 0.500 0.500 1
S1 S 0.000 0.500 0.000 1
S2 S 0.500 0.000 0.000 1
N1 N 0.000 0.000 0.500 1
# - Calculated volume: 13.22 Å³ per atom
# - Space group: P4/mmm
# - Spin magnetization: 0.840 μB per formula unit
# - VASP energy: -0.249 Ry per atom

=====

# H2AuSN, optimized geometry, DFT PBE-GGA
data_H2AuSN
_cell_length_a 4.064
_cell_length_b 4.716
_cell_length_c 4.762
_cell_angle_alpha 67.10
_cell_angle_beta 80.84
_cell_angle_gamma 70.68
_space_group_name_H-M_alt 'P 1'
_space_group_IT_number 1
loop_
_space_group_symop_operation_xyz
'x,y,z'
loop_
_atom_site_label
_atom_site_type_symbol
_atom_site_fract_x
_atom_site_fract_y
_atom_site_fract_z
_atom_site_occupancy
H1 H 0.000 0.000 0.000 1
H2 H 0.226 0.126 0.175 1
Au1 Au 0.846 0.637 0.745 1
S1 S 0.670 0.147 0.399 1
N1 N 0.985 0.171 0.091 1
# - Calculated volume: 15.86 Å³ per atom
# - Space group: P1
# - Spin magnetization: 0.000 μB per formula unit
# - VASP energy: -0.333 Ry per atom

=====

> What is the formula in the first record?

H2AuSN

=====

> spin magnetization of number 3 (H2AuSN)?

0.000 μB per formula unit

=====

> What is the spin magnetization in the third record?

0.000 μB per formula unit